# 1
Here is SnHRh3 after structural relaxation from Alexandria via LeMat-Bulk. Energies are from GGA-PBEsol.

Output
uncorrected energy: -6.7273 eV per atom
spin magnetization: 0.00 μB/f.u.

Unit cell a=3.9432 b=3.9432 c=3.9432 alpha=90.00 beta=90.00 gamma=90.00
Space group Pm-3m (No. 221)
Symmetry-distinct sites (fractional):
Sn (0.0000, 0.0000, 0.0000) [1 per cell]
H (0.5000, 0.5000, 0.5000) [1 per cell]
Rh (0.0000, 0.5000, 0.5000) [3 per cell]



# 2
Here is SrH3Rh after structural relaxation from Alexandria via LeMat-Bulk. Energies are from GGA-PBEsol.

Output
uncorrected energy: -4.5513 eV per atom
spin magnetization: 0.00 μB/f.u.

Unit cell a=3.7184 b=3.7184 c=3.7184 alpha=90.00 beta=90.00 gamma=90.00
Space group Pm-3m (No. 221)
Symmetry-distinct sites (fractional):
Sr (0.0000, 0.0000, 0.0000) [1 per cell]
H (0.0000, 0.5000, 0.5000) [3 per cell]
Rh (0.5000, 0.5000, 0.5000) [1 per cell]



# 3
Here is TaHRh3 after structural relaxation from Alexandria via LeMat-Bulk. Energies are from GGA-PBEsol.

Output
offset from the most stable computed form: 2.260 eV/atom
uncorrected energy: -6.3137 eV per atom
spin magnetization: 0.67 μB/f.u.

Unit cell a=4.6720 b=4.6720 c=4.6720 alpha=90.00 beta=90.00 gamma=90.00
Space group Pm-3m (No. 221)
Symmetry-distinct sites (fractional):
Ta (0.0000, 0.0000, 0.0000) [1 per cell]
H (0.5000, 0.5000, 0.5000) [1 per cell]
Rh (0.0000, 0.0000, 0.5000) [3 per cell]



# 4
Here is TaHRh3 after structural relaxation from Alexandria via LeMat-Bulk. Energies are from GGA-PBEsol.

Output
offset from the most stable computed form: 0.000 eV/atom
uncorrected energy: -8.5734 eV per atom
spin magnetization: 0.00 μB/f.u.

Unit cell a=3.8920 b=3.8920 c=3.8920 alpha=90.00 beta=90.00 gamma=90.00
Space group Pm-3m (No. 221)
Symmetry-distinct sites (fractional):
Ta (0.0000, 0.0000, 0.0000) [1 per cell]
H (0.5000, 0.5000, 0.5000) [1 per cell]
Rh (0.0000, 0.5000, 0.5000) [3 per cell]



# 5
Here is Ta2H2Rh after structural relaxation from Alexandria via LeMat-Bulk. Energies are from GGA-PBEsol.

Output
uncorrected energy: -8.3045 eV per atom
spin magnetization: 0.00 μB/f.u.

Unit cell a=2.8910 b=2.8910 c=12.7168 alpha=90.00 beta=90.00 gamma=90.00
Space group I4/mmm (No. 139)
Symmetry-distinct sites (fractional):
Ta (0.0000, 0.0000, 0.1466) [4 per cell]
H (0.0000, 0.5000, 0.2500) [4 per cell]
Rh (0.0000, 0.0000, 0.5000) [2 per cell]



# 6
Here is Ta3HRh after structural relaxation from Alexandria via LeMat-Bulk. Energies are from GGA-PBEsol.

Output
uncorrected energy: -9.9309 eV per atom
spin magnetization: 0.00 μB/f.u.

Unit cell a=4.0931 b=4.0931 c=4.0931 alpha=90.00 beta=90.00 gamma=90.00
Space group Pm-3m (No. 221)
Symmetry-distinct sites (fractional):
Ta (0.0000, 0.0000, 0.5000) [3 per cell]
H (0.0000, 0.0000, 0.0000) [1 per cell]
Rh (0.5000, 0.5000, 0.5000) [1 per cell]



Repeat the sixth record exactly.
Here is Ta3HRh after structural relaxation from Alexandria via LeMat-Bulk. Energies are from GGA-PBEsol.

Output
uncorrected energy: -9.9309 eV per atom
spin magnetization: 0.00 μB/f.u.

Unit cell a=4.0931 b=4.0931 c=4.0931 alpha=90.00 beta=90.00 gamma=90.00
Space group Pm-3m (No. 221)
Symmetry-distinct sites (fractional):
Ta (0.0000, 0.0000, 0.5000) [3 per cell]
H (0.0000, 0.0000, 0.0000) [1 per cell]
Rh (0.5000, 0.5000, 0.5000) [1 per cell]



- The lowest uncorrected energy belongs to which entry?
  Ta3HRh